## w
Material: Tb2PmTh
Method: DFT, GGA-PBE
State: optimized geometry

Calculated values
Spin magnetization ... 0.0 μB/f.u.
D(E_F) ... 1.1886 states/eV per atom

CIF file:
```
data_Tb2PmTh
_cell_length_a 3.5869
_cell_length_b 3.5869
_cell_length_c 10.1599
_cell_angle_alpha 90.00
_cell_angle_beta 90.00
_cell_angle_gamma 90.00
_symmetry_space_group_name_H-M 'P 4/m m m'
_symmetry_Int_Tables_number 123
_symmetry_space_group_name_Hall '-P 4 2'
loop_
_atom_site_label
_atom_site_fract_x
_atom_site_fract_y
_atom_site_fract_z
Tb1 0.0000 0.0000 0.2410
Pm1 0.5000 0.5000 0.5000
Th1 0.5000 0.5000 0.0000
```

***

## x
Material: Tb2PmTh
Method: DFT, GGA-PBE
State: optimized geometry

Calculated values
Spin magnetization ... 0.0 μB/f.u.
D(E_F) ... 1.4214 states/eV per atom

CIF file:
```
data_Tb2PmTh
_cell_length_a 3.5410
_cell_length_b 6.8558
_cell_length_c 11.1830
_cell_angle_alpha 90.59
_cell_angle_beta 90.05
_cell_angle_gamma 104.89
_symmetry_space_group_name_H-M 'P -1'
_symmetry_Int_Tables_number 2
_symmetry_space_group_name_Hall '-P 1'
loop_
_atom_site_label
_atom_site_fract_x
_atom_site_fract_y
_atom_site_fract_z
Tb1 0.0214 0.0417 0.2545
Tb2 0.2437 0.4868 0.7437
Pm1 0.3697 0.7396 0.0128
Th1 0.3724 0.7470 0.4881
```

***

The structure with the most favorable energy is w; the runner-up is 0.020 eV/atom above it.

***

## w
Material: Tb2PmTh
Method: DFT, GGA-PBE
State: optimized geometry

Calculated values
Spin magnetization ... 0.0 μB/f.u.
D(E_F) ... 1.5030 states/eV per atom

CIF file:
```
data_Tb2PmTh
_cell_length_a 3.6057
_cell_length_b 3.6057
_cell_length_c 34.7593
_cell_angle_alpha 90.00
_cell_angle_beta 90.00
_cell_angle_gamma 120.00
_symmetry_space_group_name_H-M 'R 3 m'
_symmetry_Int_Tables_number 160
_symmetry_space_group_name_Hall 'R 3 -2"'
loop_
_atom_site_label
_atom_site_fract_x
_atom_site_fract_y
_atom_site_fract_z
Tb1 0.0000 0.0000 0.0000
Tb2 0.0000 0.0000 0.1714
Pm1 0.0000 0.0000 0.4195
Th1 0.0000 0.0000 0.5856
```

***

## x
Material: Tb2PmTh
Method: DFT, GGA-PBE
State: optimized geometry

Calculated values
Spin magnetization ... 0.0 μB/f.u.
D(E_F) ... 1.2657 states/eV per atom

CIF file:
```
data_Tb2PmTh
_cell_length_a 5.0840
_cell_length_b 5.0840
_cell_length_c 5.0342
_cell_angle_alpha 90.00
_cell_angle_beta 90.00
_cell_angle_gamma 90.00
_symmetry_space_group_name_H-M 'P 4/m m m'
_symmetry_Int_Tables_number 123
_symmetry_space_group_name_Hall '-P 4 2'
loop_
_atom_site_label
_atom_site_fract_x
_atom_site_fract_y
_atom_site_fract_z
Tb1 0.0000 0.5000 0.0000
Pm1 0.0000 0.0000 0.5000
Th1 0.5000 0.5000 0.5000
```

***

## y
Material: Tb2PmTh
Method: DFT, GGA-PBE
State: optimized geometry

Calculated values
Spin magnetization ... 0.0 μB/f.u.
D(E_F) ... 2.1455 states/eV per atom

CIF file:
```
data_Tb2PmTh
_cell_length_a 8.0655
_cell_length_b 8.0655
_cell_length_c 8.0655
_cell_angle_alpha 90.00
_cell_angle_beta 90.00
_cell_angle_gamma 90.00
_symmetry_space_group_name_H-M 'F m -3 m'
_symmetry_Int_Tables_number 225
_symmetry_space_group_name_Hall '-F 4 2 3'
loop_
_atom_site_label
_atom_site_fract_x
_atom_site_fract_y
_atom_site_fract_z
Tb1 0.2500 0.2500 0.2500
Pm1 0.0000 0.0000 0.0000
Th1 0.0000 0.0000 0.5000
```

***

The structure with the most favorable energy is w; the runner-up is 0.033 eV/atom above it.

***

## w
Material: Tb7PmTh3
Method: DFT, GGA-PBE
State: optimized geometry

Calculated values
Spin magnetization ... 0.0 μB/f.u.
D(E_F) ... 1.4032 states/eV per atom

CIF file:
```
data_Tb7PmTh3
_cell_length_a 7.0961
_cell_length_b 7.0961
_cell_length_c 8.5965
_cell_angle_alpha 90.00
_cell_angle_beta 90.00
_cell_angle_gamma 120.00
_symmetry_space_group_name_H-M 'P 3 m 1'
_symmetry_Int_Tables_number 156
_symmetry_space_group_name_Hall 'P 3 -2"'
loop_
_atom_site_label
_atom_site_fract_x
_atom_site_fract_y
_atom_site_fract_z
Tb1 0.0000 0.0000 0.0000
Tb2 0.1651 0.3302 0.6578
Tb3 0.5011 0.0023 0.9980
Pm1 0.6667 0.3333 0.6538
Th1 0.3320 0.1660 0.3267
```

***

## x
Material: Tb7PmTh3
Method: DFT, GGA-PBE
State: optimized geometry

Calculated values
Spin magnetization ... 0.0 μB/f.u.
D(E_F) ... 1.5714 states/eV per atom

CIF file:
```
data_Tb7PmTh3
_cell_length_a 6.4622
_cell_length_b 6.7166
_cell_length_c 8.6917
_cell_angle_alpha 101.28
_cell_angle_beta 97.22
_cell_angle_gamma 96.74
_symmetry_space_group_name_H-M 'P -1'
_symmetry_Int_Tables_number 2
_symmetry_space_group_name_Hall '-P 1'
loop_
_atom_site_label
_atom_site_fract_x
_atom_site_fract_y
_atom_site_fract_z
Tb1 0.0000 0.0000 0.0000
Tb2 0.0715 0.7160 0.6430
Tb3 0.2071 0.2310 0.7045
Tb4 0.4922 0.7322 0.9243
Pm1 0.0000 0.5000 0.0000
Th1 0.3251 0.9491 0.3365
Th2 0.5000 0.5000 0.5000
```

***

The structure with the most favorable energy is x; the runner-up is 0.061 eV/atom above it.

***

## w
Material: Tb3Pm4Th
Method: DFT, GGA-PBE
State: optimized geometry

Calculated values
Spin magnetization ... 0.0 μB/f.u.
D(E_F) ... 1.7311 states/eV per atom

CIF file:
```
data_Tb3Pm4Th
_cell_length_a 23.5849
_cell_length_b 3.4762
_cell_length_c 6.8655
_cell_angle_alpha 90.00
_cell_angle_beta 106.75
_cell_angle_gamma 90.00
_symmetry_space_group_name_H-M 'C 1 2/m 1'
_symmetry_Int_Tables_number 12
_symmetry_space_group_name_Hall '-C 2y'
loop_
_atom_site_label
_atom_site_fract_x
_atom_site_fract_y
_atom_site_fract_z
Tb1 0.0000 0.0000 0.0000
Tb2 0.1224 0.0000 0.3837
Pm1 0.1220 0.0000 0.8614
Pm2 0.2418 0.5000 0.7373
Th1 0.0000 0.5000 0.5000
```

***

## x
Material: Tb3Pm4Th
Method: DFT, GGA-PBE
State: optimized geometry

Calculated values
Spin magnetization ... 0.0 μB/f.u.
D(E_F) ... 1.8779 states/eV per atom

CIF file:
```
data_Tb3Pm4Th
_cell_length_a 11.6385
_cell_length_b 7.3231
_cell_length_c 6.3063
_cell_angle_alpha 90.00
_cell_angle_beta 90.00
_cell_angle_gamma 90.00
_symmetry_space_group_name_H-M 'P m n 21'
_symmetry_Int_Tables_number 31
_symmetry_space_group_name_Hall 'P 2ac -2'
loop_
_atom_site_label
_atom_site_fract_x
_atom_site_fract_y
_atom_site_fract_z
Tb1 0.0000 0.1198 0.0000
Tb2 0.2498 0.1181 0.3249
Pm1 0.0000 0.3690 0.4942
Pm2 0.0000 0.6348 0.9977
Pm3 0.2486 0.6285 0.3407
Th1 0.0000 0.8802 0.4993
```

***

The structure with the most favorable energy is x; the runner-up is 0.122 eV/atom above it.

***

## w
Material: Tb3PmTh
Method: DFT, GGA-PBE
State: optimized geometry

Calculated values
Spin magnetization ... 0.0 μB/f.u.
D(E_F) ... 1.7886 states/eV per atom

CIF file:
```
data_Tb3PmTh
_cell_length_a 6.2802
_cell_length_b 5.7775
_cell_length_c 9.6114
_cell_angle_alpha 90.00
_cell_angle_beta 109.03
_cell_angle_gamma 90.00
_symmetry_space_group_name_H-M 'P 1 21/m 1'
_symmetry_Int_Tables_number 11
_symmetry_space_group_name_Hall '-P 2yb'
loop_
_atom_site_label
_atom_site_fract_x
_atom_site_fract_y
_atom_site_fract_z
Tb1 0.0286 0.2500 0.3971
Tb2 0.2375 0.2500 0.8040
Tb3 0.4349 0.2500 0.1936
Pm1 0.3657 0.7500 0.3954
Th1 0.1503 0.7500 0.9992
```

***

## x
Material: Tb3PmTh
Method: DFT, GGA-PBE
State: optimized geometry

Calculated values
Spin magnetization ... 0.0 μB/f.u.
D(E_F) ... 1.3169 states/eV per atom

CIF file:
```
data_Tb3PmTh
_cell_length_a 5.3523
_cell_length_b 11.3020
_cell_length_c 11.0372
_cell_angle_alpha 90.00
_cell_angle_beta 90.00
_cell_angle_gamma 90.00
_symmetry_space_group_name_H-M 'C m m m'
_symmetry_Int_Tables_number 65
_symmetry_space_group_name_Hall '-C 2 2'
loop_
_atom_site_label
_atom_site_fract_x
_atom_site_fract_y
_atom_site_fract_z
Tb1 0.0000 0.0000 0.1737
Tb2 0.0000 0.3484 0.3064
Pm1 0.0000 0.3464 0.0000
Th1 0.0000 0.1354 0.5000
```

***

The structure with the most favorable energy is w; the runner-up is 0.133 eV/atom above it.

***

## w
Material: Tb6PmTh2
Method: DFT, GGA-PBE
State: optimized geometry

Calculated values
Spin magnetization ... 0.0 μB/f.u.
D(E_F) ... 1.3191 states/eV per atom

CIF file:
```
data_Tb6PmTh2
_cell_length_a 9.7700
_cell_length_b 16.9606
_cell_length_c 3.4939
_cell_angle_alpha 90.00
_cell_angle_beta 90.00
_cell_angle_gamma 90.00
_symmetry_space_group_name_H-M 'C m m m'
_symmetry_Int_Tables_number 65
_symmetry_space_group_name_Hall '-C 2 2'
loop_
_atom_site_label
_atom_site_fract_x
_atom_site_fract_y
_atom_site_fract_z
Tb1 0.1645 0.0000 0.0000
Tb2 0.1675 0.3324 0.0000
Pm1 0.0000 0.5000 0.5000
Th1 0.0000 0.1667 0.5000
```

***

## x
Material: Tb6PmTh2
Method: DFT, GGA-PBE
State: optimized geometry

Calculated values
Spin magnetization ... 0.0 μB/f.u.
D(E_F) ... 2.0116 states/eV per atom

CIF file:
```
data_Tb6PmTh2
_cell_length_a 3.5799
_cell_length_b 3.5799
_cell_length_c 26.5233
_cell_angle_alpha 90.00
_cell_angle_beta 90.00
_cell_angle_gamma 120.00
_symmetry_space_group_name_H-M 'P -6 m 2'
_symmetry_Int_Tables_number 187
_symmetry_space_group_name_Hall 'P -6 2'
loop_
_atom_site_label
_atom_site_fract_x
_atom_site_fract_y
_atom_site_fract_z
Tb1 0.0000 0.0000 0.0630
Tb2 0.0000 0.0000 0.2809
Tb3 0.3333 0.6667 0.3888
Pm1 0.0000 0.0000 0.5000
Th1 0.3333 0.6667 0.1697
```

***

The structure with the most favorable energy is w; the runner-up is 0.019 eV/atom above it.

***

## w
Material: Tb12Pm7Th
Method: DFT, GGA-PBE
State: optimized geometry

Calculated values
Spin magnetization ... 0.0 μB/f.u.
D(E_F) ... 1.5503 states/eV per atom

CIF file:
```
data_Tb12Pm7Th
_cell_length_a 11.3486
_cell_length_b 11.3486
_cell_length_c 11.3486
_cell_angle_alpha 90.00
_cell_angle_beta 90.00
_cell_angle_gamma 90.00
_symmetry_space_group_name_H-M 'I m -3 m'
_symmetry_Int_Tables_number 229
_symmetry_space_group_name_Hall '-I 4 2 3'
loop_
_atom_site_label
_atom_site_fract_x
_atom_site_fract_y
_atom_site_fract_z
Tb1 0.0000 0.2430 0.2430
Pm1 0.0000 0.0000 0.5000
Pm2 0.2500 0.2500 0.2500
Th1 0.0000 0.0000 0.0000
```

***

## x
Material: Tb12Pm7Th
Method: DFT, GGA-PBE
State: optimized geometry

Calculated values
Spin magnetization ... 0.0 μB/f.u.
D(E_F) ... 2.0043 states/eV per atom

CIF file:
```
data_Tb12Pm7Th
_cell_length_a 12.3448
_cell_length_b 12.3448
_cell_length_c 15.3453
_cell_angle_alpha 90.00
_cell_angle_beta 90.00
_cell_angle_gamma 120.00
_symmetry_space_group_name_H-M 'R -3'
_symmetry_Int_Tables_number 148
_symmetry_space_group_name_Hall '-R 3'
loop_
_atom_site_label
_atom_site_fract_x
_atom_site_fract_y
_atom_site_fract_z
Tb1 0.0145 0.4445 0.2013
Tb2 0.0592 0.5864 0.5896
Pm1 0.0000 0.0000 0.0000
Pm2 0.0359 0.1837 0.3034
Th1 0.0000 0.0000 0.5000
```

***

The structure with the most favorable energy is x; the runner-up is 0.434 eV/atom above it.

***

## w
Material: Tb3Pm3Th2
Method: DFT, GGA-PBE
State: optimized geometry

Calculated values
Spin magnetization ... 0.0 μB/f.u.
D(E_F) ... 1.1575 states/eV per atom

CIF file:
```
data_Tb3Pm3Th2
_cell_length_a 5.0732
_cell_length_b 5.0789
_cell_length_c 20.5217
_cell_angle_alpha 90.00
_cell_angle_beta 90.00
_cell_angle_gamma 90.00
_symmetry_space_group_name_H-M 'I m m m'
_symmetry_Int_Tables_number 71
_symmetry_space_group_name_Hall '-I 2 2'
loop_
_atom_site_label
_atom_site_fract_x
_atom_site_fract_y
_atom_site_fract_z
Tb1 0.0000 0.0000 0.0000
Tb2 0.0000 0.5000 0.1282
Pm1 0.0000 0.0000 0.5000
Pm2 0.0000 0.5000 0.3716
Th1 0.0000 0.0000 0.2503
```

***

## x
Material: Tb3Pm3Th2
Method: DFT, GGA-PBE
State: optimized geometry

Calculated values
Spin magnetization ... 0.0 μB/f.u.
D(E_F) ... 1.4660 states/eV per atom

CIF file:
```
data_Tb3Pm3Th2
_cell_length_a 6.2237
_cell_length_b 6.2292
_cell_length_c 8.0510
_cell_angle_alpha 105.06
_cell_angle_beta 104.91
_cell_angle_gamma 109.33
_symmetry_space_group_name_H-M 'P -1'
_symmetry_Int_Tables_number 2
_symmetry_space_group_name_Hall '-P 1'
loop_
_atom_site_label
_atom_site_fract_x
_atom_site_fract_y
_atom_site_fract_z
Tb1 0.0000 0.0000 0.0000
Tb2 0.1281 0.6283 0.2562
Pm1 0.3694 0.8697 0.7395
Pm2 0.5000 0.5000 0.0000
Th1 0.2488 0.2486 0.4973
```

***

The structure with the most favorable energy is w; the runner-up is 0.011 eV/atom above it.

***

## w
Material: Tb3Pm4Th2
Method: DFT, GGA-PBE
State: optimized geometry

Calculated values
Spin magnetization ... 0.0 μB/f.u.
D(E_F) ... 1.3932 states/eV per atom

CIF file:
```
data_Tb3Pm4Th2
_cell_length_a 18.8624
_cell_length_b 3.6350
_cell_length_c 9.6563
_cell_angle_alpha 90.00
_cell_angle_beta 115.63
_cell_angle_gamma 90.00
_symmetry_space_group_name_H-M 'C 1 2/m 1'
_symmetry_Int_Tables_number 12
_symmetry_space_group_name_Hall '-C 2y'
loop_
_atom_site_label
_atom_site_fract_x
_atom_site_fract_y
_atom_site_fract_z
Tb1 0.0000 0.0000 0.0000
Tb2 0.1508 0.0000 0.6751
Pm1 0.0164 0.5000 0.3315
Pm2 0.1845 0.0000 0.3251
Th1 0.1685 0.5000 0.9994
```

***

## x
Material: Tb3Pm4Th2
Method: DFT, GGA-PBE
State: optimized geometry

Calculated values
Spin magnetization ... 0.0 μB/f.u.
D(E_F) ... 1.8945 states/eV per atom

CIF file:
```
data_Tb3Pm4Th2
_cell_length_a 3.5874
_cell_length_b 3.5874
_cell_length_c 27.0165
_cell_angle_alpha 90.00
_cell_angle_beta 90.00
_cell_angle_gamma 120.00
_symmetry_space_group_name_H-M 'P 3 m 1'
_symmetry_Int_Tables_number 156
_symmetry_space_group_name_Hall 'P 3 -2"'
loop_
_atom_site_label
_atom_site_fract_x
_atom_site_fract_y
_atom_site_fract_z
Tb1 0.0000 0.0000 0.0000
Tb2 0.0000 0.0000 0.3414
Tb3 0.6667 0.3333 0.6713
Pm1 0.0000 0.0000 0.5632
Pm2 0.0000 0.0000 0.7813
Pm3 0.6667 0.3333 0.2348
Pm4 0.6667 0.3333 0.4509
Th1 0.6667 0.3333 0.1080
Th2 0.6667 0.3333 0.8912
```

***

The structure with the most favorable energy is w; the runner-up is 0.069 eV/atom above it.

***

## w
Material: TbPm3Th2
Method: DFT, GGA-PBE
State: optimized geometry

Calculated values
Spin magnetization ... 0.0 μB/f.u.
D(E_F) ... 2.2415 states/eV per atom

CIF file:
```
data_TbPm3Th2
_cell_length_a 11.8487
_cell_length_b 11.8487
_cell_length_c 10.0918
_cell_angle_alpha 90.00
_cell_angle_beta 90.00
_cell_angle_gamma 120.00
_symmetry_space_group_name_H-M 'R -3 m'
_symmetry_Int_Tables_number 166
_symmetry_space_group_name_Hall '-R 3 2"'
loop_
_atom_site_label
_atom_site_fract_x
_atom_site_fract_y
_atom_site_fract_z
Tb1 0.0000 0.0000 0.1631
Pm1 0.0006 0.5003 0.8354
Th1 0.0000 0.0000 0.5000
Th2 0.0000 0.5000 0.5000
```

***

## x
Material: TbPm3Th2
Method: DFT, GGA-PBE
State: optimized geometry

Calculated values
Spin magnetization ... 0.0 μB/f.u.
D(E_F) ... 1.3710 states/eV per atom

CIF file:
```
data_TbPm3Th2
_cell_length_a 10.1839
_cell_length_b 3.6201
_cell_length_c 10.8189
_cell_angle_alpha 90.00
_cell_angle_beta 90.23
_cell_angle_gamma 90.00
_symmetry_space_group_name_H-M 'P 1 21/m 1'
_symmetry_Int_Tables_number 11
_symmetry_space_group_name_Hall '-P 2yb'
loop_
_atom_site_label
_atom_site_fract_x
_atom_site_fract_y
_atom_site_fract_z
Tb1 0.1248 0.2500 0.2500
Pm1 0.1330 0.2500 0.5832
Pm2 0.3637 0.7500 0.0832
Pm3 0.3760 0.7500 0.7498
Th1 0.1172 0.2500 0.9185
Th2 0.3794 0.7500 0.4183
```

***

The structure with the most favorable energy is x; the runner-up is 0.418 eV/atom above it.